Material: YMgIr2Pb
Method: DFT, GGA-PBE
State: optimized geometry

Output
Total energy (eV per atom): -4.654
Magnetization (μB per formula unit): 1.0
ΔH_f (0 K) (meV/atom): 1243
DOS at the Fermi energy (states/eV/atom): 1.10

The structure in POSCAR format:
```
YMgIr2Pb
1.0
5.0726 0.0000 0.0000
0.0000 5.0726 0.0000
0.0000 0.0000 5.4859
Y Mg Ir Pb
1 1 2 1
Cartesian
0.0000 0.0000 0.0000 Y
2.5363 2.5363 0.0000 Mg
0.0000 2.5363 2.7429 Ir
2.5363 0.0000 2.7429 Ir
0.0000 0.0000 2.7429 Pb
```